A geometry-optimized BaAlGa2 structure, computed with PBE.

Unit cell a=4.4619 b=4.4619 c=18.4269 alpha=90.00 beta=90.00 gamma=120.00
Space group R-3m (No. 166, hexagonal axes)
Symmetry-distinct sites (fractional):
Ba 0.0000 0.0000 0.0000
Al 0.0000 0.0000 0.5000
Ga 0.0000 0.0000 0.2131

Output
E_form: -0.33 eV per atom